Density functional theory data (PBE with a Hubbard U) for CrPtI2O after structural relaxation.

Volume ... 126.09 Å³ per cell
E above lowest polymorph ... 0.0 meV per atom

extended XYZ file:
```
5
Lattice="5.7412 0.0000 0.0000 0.0000 5.7412 0.0000 0.0000 0.0000 3.8254" Properties=species:S:1:pos:R:3 pbc="T T T"
Cr 0.0000 0.0000 0.0000
Pt 2.8706 2.8706 1.9127
I 0.0000 2.8706 1.9127
I 2.8706 0.0000 1.9127
O 2.8706 2.8706 0.0000
```